Record 1
Computed, not measured: an optimized crystal structure of Hf2RuRh at the PBEsol level of DFT.

Cell: 4.5417 4.5417 4.5417 Å, 60.00 60.00 60.00°
Sites, in units of the cell vectors:
Rh 0.5000 0.5000 0.5000
Hf 0.2500 0.2500 0.2500
Hf 0.7500 0.7500 0.7500
Ru 0.0000 0.0000 0.0000

Raw total energy = -10.630 eV per atom
ΔH_f (0 K) = -0.801 eV per atom
SG = Fm-3m
Magnetization = 0.0 μB/f.u.

---

Record 2
Computed, not measured: an optimized crystal structure of HfSb2RuRh at the PBEsol level of DFT.

Cell: 4.5997 4.9623 4.9623 Å, 90.00 90.00 90.00°
Sites, in units of the cell vectors:
Sb 0.0000 0.0000 0.5000
Sb 0.0000 0.5000 0.0000
Hf 0.5000 0.5000 0.5000
Rh 0.5000 0.0000 0.0000
Ru 0.0000 0.0000 0.0000

Raw total energy = -6.813 eV per atom
Energy relative to the elements, uncorrected = 773 meV/atom
SG = P4/mmm
Magnetization = 0.0 μB/f.u.

---

Record 3
Computed, not measured: an optimized crystal structure of Hf2SbRh2 at the PBEsol level of DFT.

Cell: 3.2352 7.4558 7.4558 Å, 90.00 90.00 90.00°
Sites, in units of the cell vectors:
Sb 0.0000 0.0000 0.0000
Sb 0.0000 0.5000 0.5000
Hf 0.5000 0.1629 0.6629
Hf 0.5000 0.6629 0.8371
Hf 0.5000 0.8371 0.3371
Hf 0.5000 0.3371 0.1629
Rh 0.0000 0.3684 0.8684
Rh 0.0000 0.8684 0.6316
Rh 0.0000 0.6316 0.1316
Rh 0.0000 0.1316 0.3684

Raw total energy = -9.131 eV per atom
Energy relative to the elements, uncorrected = -763 meV/atom
SG = P4/mbm
Magnetization = 0.0 μB/f.u.